No. 1
This record from the Alexandria database describes a relaxed Nd2Pu3ThSe6 crystal. The functional is PBE.

Computed properties:
Crystal system: monoclinic
SG: C2/m (12)
Mass density in Mg/m³: 9.261
Raw formation energy in kJ/mol of atoms: -159.3

a b c (Å): 9.3574 9.3574 8.4060
angles (deg): 103.39 103.39 25.65
Closest atoms and distances in Å follow each position.
Positions (direct):
Nd 0.1662 0.1662 0.3327  6 Se 2.98-2.99
Nd 0.8338 0.8338 0.6673  6 Se 2.98-2.99
Pu 0.1668 0.1668 0.8340  6 Se 2.92-2.93
Pu 0.5000 0.5000 0.5000  6 Se 2.92-2.93
Pu 0.8332 0.8332 0.1660  6 Se 2.92-2.93
Th 0.5000 0.5000 0.0000  6 Se 2.99
Se 0.0022 0.0022 0.7451  3 Pu 2.92, 1 Nd 2.99, 2 Th 2.99
Se 0.3315 0.3315 0.9209  3 Pu 2.92, 2 Nd 2.98, 1 Th 2.99
Se 0.3347 0.3347 0.4118  3 Pu 2.93, 3 Nd 2.99
Se 0.6653 0.6653 0.5882  3 Pu 2.93, 3 Nd 2.99
Se 0.6685 0.6685 0.0791  3 Pu 2.92, 2 Nd 2.98, 1 Th 2.99
Se 0.9978 0.9978 0.2549  3 Pu 2.92, 1 Nd 2.99, 2 Th 2.99

No. 2
This record from the Alexandria database describes a relaxed Nd3Pu2ThSe6 crystal. The functional is PBE.

Computed properties:
Crystal system: monoclinic
SG: C2/m (12)
Mass density in Mg/m³: 8.616
Raw formation energy in kJ/mol of atoms: -163.7

a b c (Å): 9.3869 9.3869 8.4308
angles (deg): 103.13 103.13 25.72
Closest atoms and distances in Å follow each position.
Positions (direct):
Nd 0.0000 0.0000 0.0000  6 Se 2.97-3.01
Nd 0.3338 0.3338 0.6664  6 Se 2.97-3.00
Nd 0.6662 0.6662 0.3336  6 Se 2.97-3.00
Pu 0.3334 0.3334 0.1664  6 Se 2.93-2.94
Pu 0.6666 0.6666 0.8336  6 Se 2.93-2.94
Th 0.0000 0.0000 0.5000  6 Se 2.97
Se 0.1669 0.1669 0.5890  2 Pu 2.94, 3 Nd 2.97-3.00, 1 Th 2.97
Se 0.1689 0.1689 0.0788  3 Pu 2.93, 3 Nd 3.00-3.01
Se 0.4983 0.4983 0.2489  1 Pu 2.93, 3 Nd 2.97-2.99, 2 Th 2.97
Se 0.5017 0.5017 0.7511  1 Pu 2.93, 3 Nd 2.97-2.99, 2 Th 2.97
Se 0.8311 0.8311 0.9212  3 Pu 2.93, 3 Nd 3.00-3.01
Se 0.8331 0.8331 0.4110  2 Pu 2.94, 3 Nd 2.97-3.00, 1 Th 2.97

No. 3
This record from the Alexandria database describes a relaxed Nd4PuTh3Se8 crystal. The functional is PBE.

Computed properties:
Crystal system: trigonal
SG: R-3m (166)
Mass density in Mg/m³: 8.462
Raw formation energy in kJ/mol of atoms: -162.8

a b c (Å): 8.4623 8.4623 8.4623
angles (deg): 59.30 59.30 59.30
Closest atoms and distances in Å follow each position.
Positions (direct):
Nd 0.0000 0.0000 0.0000  6 Se 3.00
Nd 0.0000 0.5000 0.5000  6 Se 2.97-2.98
Nd 0.5000 0.0000 0.5000  6 Se 2.97-2.98
Nd 0.5000 0.5000 0.0000  6 Se 2.97-2.98
Pu 0.5000 0.5000 0.5000  6 Se 2.95
Th 0.0000 0.0000 0.5000  6 Se 2.98
Th 0.0000 0.5000 0.0000  6 Se 2.98
Th 0.5000 0.0000 0.0000  6 Se 2.98
Se 0.2503 0.2503 0.2503  3 Nd 2.97, 3 Th 2.98
Se 0.2523 0.2523 0.7478  1 Pu 2.95, 2 Th 2.98, 3 Nd 2.98-3.00
Se 0.2523 0.7478 0.2523  1 Pu 2.95, 2 Th 2.98, 3 Nd 2.98-3.00
Se 0.2522 0.7477 0.7477  1 Pu 2.95, 2 Th 2.98, 3 Nd 2.98-3.00
Se 0.7478 0.2523 0.2523  1 Pu 2.95, 2 Th 2.98, 3 Nd 2.98-3.00
Se 0.7477 0.2522 0.7477  1 Pu 2.95, 2 Th 2.98, 3 Nd 2.98-3.00
Se 0.7477 0.7477 0.2522  1 Pu 2.95, 2 Th 2.98, 3 Nd 2.98-3.00
Se 0.7497 0.7497 0.7497  3 Nd 2.97, 3 Th 2.98

No. 4
This record from the Alexandria database describes a relaxed Nd2PuTh3Se6 crystal. The functional is PBE.

Computed properties:
Crystal system: monoclinic
SG: C2/m (12)
Mass density in Mg/m³: 8.997
Raw formation energy in kJ/mol of atoms: -157.8

a b c (Å): 9.4409 9.4409 8.4139
angles (deg): 104.27 104.27 25.66
Closest atoms and distances in Å follow each position.
Positions (direct):
Nd 0.1656 0.1656 0.3327  6 Se 2.96-2.98
Nd 0.8344 0.8344 0.6673  6 Se 2.96-2.98
Pu 0.5000 0.5000 0.0000  6 Se 2.92-2.93
Th 0.1683 0.1683 0.8368  6 Se 2.97-2.99
Th 0.5000 0.5000 0.5000  6 Se 2.98-3.01
Th 0.8317 0.8317 0.1632  6 Se 2.97-2.99
Se 0.0009 0.0009 0.7567  2 Pu 2.93, 1 Nd 2.97, 3 Th 2.98-3.01
Se 0.3327 0.3327 0.4157  3 Nd 2.97-2.98, 3 Th 2.98
Se 0.3362 0.3362 0.9161  1 Pu 2.92, 2 Nd 2.96, 3 Th 2.97-2.99
Se 0.6638 0.6638 0.0839  1 Pu 2.92, 2 Nd 2.96, 3 Th 2.97-2.99
Se 0.6673 0.6673 0.5843  3 Nd 2.97-2.98, 3 Th 2.98
Se 0.9991 0.9991 0.2433  2 Pu 2.93, 1 Nd 2.97, 3 Th 2.98-3.01

What did the second record say?
This record from the Alexandria database describes a relaxed Nd3Pu2ThSe6 crystal. The functional is PBE.

Computed properties:
Crystal system: monoclinic
SG: C2/m (12)
Mass density in Mg/m³: 8.616
Raw formation energy in kJ/mol of atoms: -163.7

a b c (Å): 9.3869 9.3869 8.4308
angles (deg): 103.13 103.13 25.72
Closest atoms and distances in Å follow each position.
Positions (direct):
Nd 0.0000 0.0000 0.0000  6 Se 2.97-3.01
Nd 0.3338 0.3338 0.6664  6 Se 2.97-3.00
Nd 0.6662 0.6662 0.3336  6 Se 2.97-3.00
Pu 0.3334 0.3334 0.1664  6 Se 2.93-2.94
Pu 0.6666 0.6666 0.8336  6 Se 2.93-2.94
Th 0.0000 0.0000 0.5000  6 Se 2.97
Se 0.1669 0.1669 0.5890  2 Pu 2.94, 3 Nd 2.97-3.00, 1 Th 2.97
Se 0.1689 0.1689 0.0788  3 Pu 2.93, 3 Nd 3.00-3.01
Se 0.4983 0.4983 0.2489  1 Pu 2.93, 3 Nd 2.97-2.99, 2 Th 2.97
Se 0.5017 0.5017 0.7511  1 Pu 2.93, 3 Nd 2.97-2.99, 2 Th 2.97
Se 0.8311 0.8311 0.9212  3 Pu 2.93, 3 Nd 3.00-3.01
Se 0.8331 0.8331 0.4110  2 Pu 2.94, 3 Nd 2.97-3.00, 1 Th 2.97